This record from Alexandria describes crystalline PmMg6Ga4 at its relaxed geometry. The functional is GGA-PBE.

Space-group type: No. 187
Size of the total moment, Bohr magnetons per cell: 0.00
Electronic total energy, eV/atom: -2.607
Calculated formation energy, eV per atom: -0.205

a b c (Å): 4.328 7.936 7.936
angles (deg): 120.00 90.00 90.00
Fractional positions:
Mg  0.000  0.534  0.068
Ga  0.500  0.807  0.615
Mg  0.500  0.592  0.796
Pm  0.000  0.000  0.000
Mg  0.000  0.534  0.466
Mg  0.500  0.204  0.796
Ga  0.500  0.385  0.193
Mg  0.500  0.204  0.408
Ga  0.000  0.333  0.667
Mg  0.000  0.932  0.466
Ga  0.500  0.807  0.193